A.
The following is a GGA-PBE calculation of crystalline Nd2SmCu4Sn2Ge2 at its relaxed geometry, from OQMD.

Lattice parameters (Å, degrees): 8.409 8.409 8.409 149.66 131.00 58.73
Atoms (fractional coordinates):
1 Ge 0.716 0.216 0.500
2 Sn 0.799 0.500 0.299
3 Cu 0.144 0.327 0.817
4 Cu 0.856 0.673 0.183
5 Cu 0.490 0.673 0.817
6 Sn 0.201 0.500 0.701
7 Sm 0.500 0.000 0.500
8 Nd 0.137 0.137 0.000
9 Ge 0.284 0.784 0.500
10 Cu 0.510 0.327 0.183
11 Nd 0.863 0.863 0.000

Computed properties:
The total magnetic moment comes out at 0.0 μB per cell. The volume comes out at 224.9 Å³/cell.

---

B.
The following is a GGA-PBE calculation of crystalline Nd2SmCu4Sn2Ge2 at its relaxed geometry, from OQMD.

Lattice parameters (Å, degrees): 8.428 8.428 8.428 149.11 132.71 57.55
Atoms (fractional coordinates):
1 Nd 0.372 0.872 0.500
2 Nd 0.628 0.128 0.500
3 Cu 0.655 0.341 0.314
4 Sm 0.000 0.000 0.000
5 Cu 0.973 0.659 0.314
6 Cu 0.345 0.659 0.686
7 Cu 0.027 0.341 0.686
8 Ge 0.690 0.500 0.190
9 Sn 0.217 0.217 0.000
10 Ge 0.310 0.500 0.810
11 Sn 0.783 0.783 0.000

Computed properties:
The total magnetic moment comes out at 0.0 μB per cell. The volume comes out at 224.1 Å³/cell.

---

Pick the most stable structure from those above. Pick: B